NiH19C12S2Br2N after structural relaxation, computed with PBE.

The structure in extended XYZ format:
```
74
Lattice="-0.396 5.395 -5.350 -5.522 -8.105 -7.765 -7.544 1.564 3.733" Properties=species:S:1:pos:R:3 pbc="T T T"
Br -7.154 -1.816 -11.398
Br -6.674 0.015 -7.414
Br -5.160 1.228 0.320
Br -8.098 -1.959 -0.502
C -3.866 -0.025 -9.554
C -2.445 -0.155 -5.514
C -4.294 -3.024 -7.565
C -5.099 -3.357 -8.651
C -1.855 2.395 -4.586
C -3.416 0.847 -5.597
C -3.038 -1.453 -2.095
C -3.114 2.129 -5.128
C -4.188 -1.957 -1.261
C -8.545 -4.124 -9.053
C -5.331 2.877 -4.371
C -4.959 2.861 -2.914
C -7.635 -2.734 -5.248
C -8.197 -4.121 -5.104
C -7.285 -0.498 -3.658
C -9.956 -0.190 -9.080
C -10.393 -3.341 -4.318
C -10.826 -0.284 -7.853
C -11.199 -3.685 -5.407
C -10.712 -2.228 -3.538
C -8.728 1.674 -1.245
C -8.434 2.955 -0.786
C -12.319 -2.903 -5.700
C -8.070 1.119 2.318
H -2.679 -1.160 -5.863
H -3.483 0.575 -8.722
H -3.926 -4.774 -4.963
H -2.261 -2.214 -2.256
H -4.602 -0.745 -9.179
H -1.640 3.406 -4.221
H -4.549 -2.149 -6.961
H -5.959 -2.733 -8.901
H -3.380 -1.105 -3.079
H -4.395 0.621 -6.031
H -7.751 -4.744 -9.486
H -5.022 2.515 -7.031
H -6.831 -2.683 -5.992
H -8.121 -3.214 -8.614
H -4.221 2.086 -2.664
H -7.411 -4.839 -4.832
H -4.981 -1.198 -1.192
H -9.103 -4.711 -8.307
H -5.765 1.919 -4.700
H -8.660 -4.480 -6.038
H -6.871 -0.123 -4.608
H -8.999 -0.710 -8.920
H -6.073 3.661 -4.581
H -8.391 -1.986 -5.524
H -6.782 -0.048 -2.795
H -5.829 2.714 -2.262
H -10.050 -6.026 -4.616
H -8.361 -0.292 -3.623
H -10.969 -4.559 -6.026
H -10.958 -1.326 -7.535
H -7.984 0.881 -1.158
H -7.448 3.155 -0.360
H -10.065 -1.973 -2.691
H -7.827 1.115 1.249
H -11.824 0.154 -8.003
H -8.234 5.539 -2.589
H -7.504 1.911 2.819
H -12.943 -3.157 -6.557
N -4.127 3.207 -5.201
N -9.198 -4.153 -3.989
Ni -3.308 4.898 -4.512
Ni -8.353 -3.400 -2.338
S -2.272 -0.041 -1.199
S -4.206 4.490 -2.554
S -6.965 -2.274 -3.607
S -9.995 0.649 -6.503
```

Computed properties:
Mass density ... 1.891 g/cm3
E ... -5.525 eV per atom


NaDySe2 after structural relaxation, computed with PBE.

The structure in extended XYZ format:
```
8
Lattice="-4.661 1.803 -2.509 -3.495 0.488 4.338 5.805 5.249 0.020" Properties=species:S:1:pos:R:3 pbc="T T T"
Dy -2.427 2.232 2.082
Dy 0.472 4.862 2.093
Na -3.059 2.983 -1.716
Na -0.189 5.570 -1.708
Se -1.255 1.334 -0.454
Se -4.291 3.913 0.552
Se 1.644 3.963 -0.449
Se -1.391 6.540 0.568
```

Computed properties:
Mass density ... 5.570 g/cm3
E ... -4.621 eV per atom


NdZn3Ga after structural relaxation, computed with PBE.

The structure in extended XYZ format:
```
5
Lattice="-2.198 3.646 -0.098 -0.614 -0.480 -4.186 -3.055 -4.243 3.099" Properties=species:S:1:pos:R:3 pbc="T T T"
Ga -3.299 1.206 -2.496
Nd -0.892 0.224 -0.572
Zn -4.215 0.724 -0.142
Zn -3.421 -1.344 -2.191
Zn -4.285 -1.794 0.151
```

Computed properties:
Mass density ... 7.112 g/cm3
E ... -2.745 eV per atom


AcNp after structural relaxation, computed with PBE.

The structure in extended XYZ format:
```
2
Lattice="0.882 2.727 4.034 -3.567 2.874 1.872 -2.131 -1.188 4.305" Properties=species:S:1:pos:R:3 pbc="T T T"
Ac 0.000 0.000 0.000
Np -1.204 1.103 2.553
```

Computed properties:
Mass density ... 8.993 g/cm3
ΔH_f (0 K) ... 2156 meV/atom
E ... -6.281 eV per atom


NaInSiPd after structural relaxation, computed with PBE.

The structure in extended XYZ format:
```
4
Lattice="0.000 3.346 3.346 3.346 0.000 3.346 3.346 3.346 0.000" Properties=species:S:1:pos:R:3 pbc="T T T"
In 1.673 1.673 1.673
Na 5.019 5.019 5.019
Pd 3.346 3.346 3.346
Si 0.000 0.000 0.000
```

Computed properties:
Mass density ... 6.034 g/cm3
E ... -3.631 eV per atom


Fe14C after structural relaxation, computed with PBE.

The structure in extended XYZ format:
```
15
Lattice="3.515 2.030 4.248 -3.515 2.030 4.248 0.000 -4.059 4.248" Properties=species:S:1:pos:R:3 pbc="T T T"
C 0.000 0.000 6.372
Fe 1.282 2.030 4.248
Fe -1.282 2.030 4.248
Fe 0.000 2.531 6.315
Fe 2.192 1.265 6.429
Fe -2.192 1.265 6.429
Fe 2.399 0.095 4.248
Fe -2.399 0.095 4.248
Fe 0.000 0.000 4.600
Fe 0.000 0.000 8.144
Fe 1.117 -2.125 4.248
Fe -1.117 -2.125 4.248
Fe 2.192 -1.265 6.315
Fe -2.192 -1.265 6.315
Fe 0.000 -2.531 6.429
```

Computed properties:
Mass density ... 7.249 g/cm3
E ... -7.807 eV per atom


Nd3ErPt4 after structural relaxation, computed with PBE.

The structure in extended XYZ format:
```
8
Lattice="-0.136 -4.593 3.323 3.140 1.901 2.756 -5.284 3.079 3.897" Properties=species:S:1:pos:R:3 pbc="T T T"
Er -1.696 0.334 1.702
Nd 0.513 -1.428 4.223
Nd -2.139 -0.911 6.888
Nd -4.363 0.863 4.376
Pt 1.244 0.431 2.107
Pt -2.473 -1.625 3.939
Pt -1.284 1.033 4.573
Pt -5.202 -0.949 6.582
```

Computed properties:
Mass density ... 12.144 g/cm3
ΔH_f (0 K) ... -1183 meV/atom
E ... -6.568 eV per atom


SrScCuSeS2 after structural relaxation, computed with PBE.

The structure in extended XYZ format:
```
12
Lattice="1.933 -6.641 0.000 1.933 6.641 0.000 0.000 0.000 10.039" Properties=species:S:1:pos:R:3 pbc="T T T"
Cu 1.933 6.233 2.510
Cu 1.933 -6.233 7.529
S 1.933 4.941 0.608
S 1.933 4.941 4.411
S 1.933 -4.941 5.628
S 1.933 -4.941 9.431
Sc 1.933 0.000 0.000
Sc 1.933 0.000 5.020
Se 1.933 1.093 2.510
Se 1.933 -1.093 7.529
Sr 1.933 -3.160 2.510
Sr 1.933 3.160 7.529
```

Computed properties:
Mass density ... 4.371 g/cm3
E ... -5.457 eV per atom


Ta2Tl3Cu3Se8 after structural relaxation, computed with PBE.

The structure in extended XYZ format:
```
16
Lattice="10.202 -2.866 0.000 10.202 2.866 0.000 -0.790 0.000 7.676" Properties=species:S:1:pos:R:3 pbc="T T T"
Cu 10.202 -1.338 0.000
Cu 12.611 1.543 1.401
Cu 7.003 1.543 6.275
Se 18.414 0.177 0.520
Se 14.556 0.100 0.997
Se 10.697 0.054 1.972
Se 2.968 0.088 3.340
Se 16.645 0.088 4.336
Se 8.917 0.054 5.703
Se 5.057 0.100 6.678
Se 1.200 0.177 7.156
Ta 12.656 -1.323 1.456
Ta 6.958 -1.323 6.220
Tl 6.152 -0.047 2.173
Tl 9.807 -2.622 3.838
Tl 13.462 -0.047 5.503
```

Computed properties:
Mass density ... 6.650 g/cm3
E ... -4.922 eV per atom


HfNbGe after structural relaxation, computed with PBE.

The structure in extended XYZ format:
```
3
Lattice="0.000 3.250 3.250 3.250 0.000 3.250 3.250 3.250 0.000" Properties=species:S:1:pos:R:3 pbc="T T T"
Ge 1.625 1.625 1.625
Hf 0.000 0.000 0.000
Nb 4.876 4.876 4.876
```

Computed properties:
Mass density ... 8.318 g/cm3
E ... -7.454 eV per atom


KRb2CuCl6 after structural relaxation, computed with PBE.

The structure in extended XYZ format:
```
10
Lattice="0.000 5.271 5.271 5.271 0.000 5.271 5.271 5.271 0.000" Properties=species:S:1:pos:R:3 pbc="T T T"
Cl 2.360 5.271 5.271
Cl 5.271 2.360 5.271
Cl 5.271 5.271 8.182
Cl 5.271 5.271 2.360
Cl 5.271 8.182 5.271
Cl 8.182 5.271 5.271
Cu 0.000 0.000 0.000
K 5.271 5.271 5.271
Rb 2.635 2.635 2.635
Rb 7.906 7.906 7.906
```

Computed properties:
Mass density ... 2.757 g/cm3
E ... -3.026 eV per atom


HfAlNiOs after structural relaxation, computed with PBE.

The structure in extended XYZ format:
```
4
Lattice="0.000 3.138 3.138 3.138 0.000 3.138 3.138 3.138 0.000" Properties=species:S:1:pos:R:3 pbc="T T T"
Al 0.000 0.000 0.000
Hf 1.569 1.569 1.569
Ni 4.707 4.707 4.707
Os 3.138 3.138 3.138
```

Computed properties:
Mass density ... 12.212 g/cm3
E ... -7.676 eV per atom


NdNpSc after structural relaxation, computed with PBE.

The structure in extended XYZ format:
```
3
Lattice="0.000 3.570 3.570 3.570 0.000 3.570 3.570 3.570 0.000" Properties=species:S:1:pos:R:3 pbc="T T T"
Nd 1.785 1.785 1.785
Np 5.355 5.355 5.355
Sc 0.000 0.000 0.000
```

Computed properties:
Mass density ... 7.778 g/cm3
ΔH_f (0 K) ... 1103 meV/atom
E ... -6.851 eV per atom


Lu4ZnSiC2 after structural relaxation, computed with PBE.

The structure in extended XYZ format:
```
8
Lattice="3.501 0.000 0.000 -1.751 3.032 0.000 0.000 0.000 14.519" Properties=species:S:1:pos:R:3 pbc="T T T"
C 0.000 0.000 3.585
C 0.000 0.000 10.934
Lu 1.751 1.011 2.231
Lu 0.000 2.021 4.850
Lu 0.000 2.021 9.669
Lu 1.751 1.011 12.287
Si 0.000 2.021 0.000
Zn 1.751 1.011 7.259
```

Computed properties:
Mass density ... 8.806 g/cm3
E ... -5.775 eV per atom


HfInFePd after structural relaxation, computed with PBE.

The structure in extended XYZ format:
```
4
Lattice="0.000 3.224 3.224 3.224 0.000 3.224 3.224 3.224 0.000" Properties=species:S:1:pos:R:3 pbc="T T T"
Fe 4.836 4.836 4.836
Hf 3.224 3.224 3.224
In 0.000 0.000 0.000
Pd 1.612 1.612 1.612
```

Computed properties:
Mass density ... 11.284 g/cm3
E ... -6.878 eV per atom


TbDyTl4Ni2 after structural relaxation, computed with PBE.

The structure in extended XYZ format:
```
8
Lattice="7.500 0.000 0.000 0.000 2.189 5.356 0.000 -2.189 5.356" Properties=species:S:1:pos:R:3 pbc="T T T"
Dy 0.000 0.000 4.591
Ni 3.750 0.000 3.100
Ni 0.000 0.000 7.610
Tb 3.750 0.000 6.119
Tl 1.522 0.000 1.513
Tl 5.978 0.000 1.513
Tl 2.224 0.000 9.201
Tl 5.276 0.000 9.201
```

Computed properties:
Mass density ... 11.861 g/cm3
E ... -3.908 eV per atom


Hf2Sc4P3N3 after structural relaxation, computed with PBE.

The structure in extended XYZ format:
```
24
Lattice="-2.833 2.483 4.454 -5.180 -2.090 1.680 8.126 -7.523 5.525" Properties=species:S:1:pos:R:3 pbc="T T T"
Hf -2.961 -0.991 3.096
Hf -1.387 -3.154 5.330
Hf 1.500 -3.977 6.329
Hf 3.074 -6.140 8.563
N -2.804 1.260 3.242
N -2.590 -1.045 0.840
N -5.208 -0.868 2.892
N 0.134 -4.692 4.675
N 2.647 -2.520 4.990
N -0.021 -2.439 6.984
P -3.121 -1.232 5.701
P -2.955 -3.594 3.290
P -0.436 -1.372 3.659
P 0.549 -5.759 8.000
P 3.068 -3.537 8.369
P 3.234 -5.899 5.958
Sc -0.288 -1.110 1.076
Sc -5.650 -0.869 5.162
Sc 1.299 -3.282 3.261
Sc -4.043 -3.001 7.370
Sc 4.156 -4.130 4.289
Sc -1.186 -3.849 8.398
Sc 5.762 -6.263 6.497
Sc 0.401 -6.021 10.583
```

Computed properties:
Mass density ... 6.354 g/cm3
E ... -8.704 eV per atom


CdCoReSi after structural relaxation, computed with PBE.

The structure in extended XYZ format:
```
4
Lattice="1.166 -3.939 -1.291 -2.340 -3.425 1.155 -2.356 -2.088 -2.938" Properties=species:S:1:pos:R:3 pbc="T T T"
Cd -1.765 -4.726 -1.537
Co -2.647 -7.090 -2.305
Re -0.882 -2.363 -0.768
Si 0.000 0.000 0.000
```

Computed properties:
Mass density ... 11.341 g/cm3
E ... -6.026 eV per atom


ZrGaCo2 after structural relaxation, computed with PBE.

The structure in extended XYZ format:
```
4
Lattice="1.532 -0.317 4.059 -2.728 0.247 3.379 -0.848 -3.545 2.374" Properties=species:S:1:pos:R:3 pbc="T T T"
Co 0.000 0.000 0.000
Co -1.533 -2.711 7.359
Ga -1.022 -1.807 4.906
Zr -0.511 -0.904 2.453
```

Computed properties:
Mass density ... 7.955 g/cm3
E ... -6.544 eV per atom


GdSeO3F after structural relaxation, computed with PBE.

The structure in extended XYZ format:
```
12
Lattice="-2.680 2.290 2.360 -3.082 -5.599 0.566 4.412 -1.348 5.030" Properties=species:S:1:pos:R:3 pbc="T T T"
F -2.242 0.103 3.844
F 0.893 -4.759 4.112
Gd -1.297 -1.298 2.462
Gd -0.053 -3.357 5.495
O -3.501 -2.265 2.524
O -3.236 -4.953 2.523
O -1.518 -3.325 3.673
O 0.168 -1.331 4.284
O 1.887 0.297 5.433
O 2.151 -2.391 5.433
Se -3.230 -3.636 3.586
Se 1.880 -1.020 4.371
```

Computed properties:
Mass density ... 5.510 g/cm3
E ... -6.514 eV per atom